InTe3PbAu | GGA-PBE | optimized geometry

```
12
Lattice="-4.735 5.427 2.627 -5.098 5.541 -1.447 -8.762 -7.916 0.559" Properties=species:S:1:pos:R:3 pbc="T T T"
Au -6.814 3.178 0.694
Au -11.781 -0.126 1.044
In -9.742 6.444 1.046
In -8.853 -3.392 0.693
Pb 0.000 0.000 0.000
Pb -4.381 -3.958 0.279
Te -3.975 3.127 0.441
Te -3.170 -0.887 0.257
Te -7.061 0.339 0.637
Te -11.534 2.713 1.101
Te -15.425 3.939 1.481
Te -14.620 -0.075 1.298
```

Values from the calculation:
The space group is Cmcm, No. 63. The value obtained for the density is 8.4 g/cm³. For the energy above the most stable polymorph in this dataset, the calculation gives 33.8 meV/atom.